Compound: Fe3Mo6PtN2
Source: the Alexandria database
Functional: PBEsol
Structure: optimized geometry

Structure (CIF):
```
data_Fe3Mo6PtN2
_space_group_name_H-M_alt 'P 1'
_space_group_IT_number 1
_space_group_name_Hall 'P 1'
_cell_length_a 6.6518
_cell_length_b 6.6561
_cell_length_c 6.6655
_cell_angle_alpha 90.00
_cell_angle_beta 89.68
_cell_angle_gamma 90.00
loop_
_atom_site_label
_atom_site_type_symbol
_atom_site_fract_x
_atom_site_fract_y
_atom_site_fract_z
Fe1 Fe 0.3193 0.8179 0.5662
Fe2 Fe 0.6807 0.3179 0.4338
Fe3 Fe 0.4355 0.0677 0.3284
Fe4 Fe 0.9214 0.4283 0.1959
Fe5 Fe 0.5645 0.5677 0.6716
Fe6 Fe 0.0786 0.9283 0.8041
Mo1 Mo 0.9511 0.6220 0.5411
Mo2 Mo 0.0489 0.1220 0.4589
Mo3 Mo 0.4490 0.8772 0.9531
Mo4 Mo 0.5510 0.3772 0.0469
Mo5 Mo 0.3832 0.2070 0.6974
Mo6 Mo 0.8736 0.2951 0.7979
Mo7 Mo 0.1264 0.7951 0.2021
Mo8 Mo 0.6168 0.7070 0.3026
Mo9 Mo 0.7906 0.0525 0.1324
Mo10 Mo 0.7045 0.9506 0.6253
Mo11 Mo 0.2094 0.5525 0.8676
Mo12 Mo 0.2955 0.4506 0.3747
Pt1 Pt 0.8157 0.6846 0.9351
Pt2 Pt 0.1843 0.1846 0.0649
N1 N 0.1267 0.3727 0.6264
N2 N 0.8733 0.8727 0.3736
N3 N 0.6262 0.1244 0.8784
N4 N 0.3738 0.6244 0.1216
```

Density of states at the Fermi level = 0.782 states/eV/atom
Formation energy from raw total energies = -327 meV/atom
SG = P2_1 (4)